[1]
Below is a geometry-optimized CoP2Rh structure, with properties calculated at the GGA-PBE level.

Output
* formation enthalpy at 0 K: -0.145 eV/atom
* magnetization: 0.19 μB per cell
* Fermi-level density of states: 0.78 states/eV per atom
* energy relative to the lowest polymorph listed for this composition: 0.271 eV/atom
* crystal system: trigonal

CIF file:
```
data_CoP2Rh
_chemical_formula_sum 'Co1 P2 Rh1'
_space_group_name_H-M_alt 'P 1'
_space_group_IT_number 1
_cell_length_a 7.206
_cell_length_b 7.206
_cell_length_c 7.206
_cell_angle_alpha 23.74
_cell_angle_beta 23.74
_cell_angle_gamma 23.74
loop_
_space_group_symop_operation_xyz
'x,y,z'
loop_
_atom_site_label
_atom_site_type_symbol
_atom_site_fract_x
_atom_site_fract_y
_atom_site_fract_z
Rh1 Rh 0.509 0.509 0.509
P1 P 0.249 0.249 0.249
Co1 Co 0.736 0.736 0.736
P2 P 0.006 0.006 0.006
```

***

[2]
Below is a geometry-optimized MnPPt2 structure, with properties calculated at the GGA-PBE level.

Output
* formation enthalpy at 0 K: -0.268 eV/atom
* magnetization: 3.66 μB per cell
* Fermi-level density of states: 0.43 states/eV per atom
* crystal system: orthorhombic

CIF file:
```
data_MnPPt2
_chemical_formula_sum 'Mn1 P1 Pt2'
_space_group_name_H-M_alt 'P 1'
_space_group_IT_number 1
_cell_length_a 5.158
_cell_length_b 5.158
_cell_length_c 5.158
_cell_angle_alpha 143.04
_cell_angle_beta 132.92
_cell_angle_gamma 61.32
loop_
_space_group_symop_operation_xyz
'x,y,z'
loop_
_atom_site_label
_atom_site_type_symbol
_atom_site_fract_x
_atom_site_fract_y
_atom_site_fract_z
Pt1 Pt 0.801 0.801 0.000
Mn1 Mn 0.500 0.000 0.500
Pt2 Pt 0.199 0.199 0.000
P1 P 0.000 0.500 0.500
```

***

Q: Which value of formation enthalpy at 0 K does entry 2 give?
A: -0.268 eV/atom